# 1
Dy2HgF after structural relaxation, computed with PBE.

Properties
Formation energy (no corrections) = -128 kJ per mole of atoms
Crystal system = trigonal

Unit cell a=4.7557 b=4.7557 c=20.5527 alpha=90.00 beta=90.00 gamma=120.00
Space group R-3m (No. 166, hexagonal axes)
Symmetry-distinct sites (fractional):
Dy (0.0000, 0.0000, 0.1059)
Hg (0.0000, 0.0000, 0.5000)
F (0.0000, 0.0000, 0.0000)


# 2
DyHg2F8 after structural relaxation, computed with PBE.

Properties
Formation energy (no corrections) = -211 kJ per mole of atoms
Crystal system = trigonal

Unit cell a=7.0579 b=7.0579 c=4.4322 alpha=90.00 beta=90.00 gamma=120.00
Space group P-3 (No. 147)
Symmetry-distinct sites (fractional):
Dy (0.0000, 0.0000, 0.0000)
Hg (0.3333, 0.6667, 0.7399)
F (0.1524, 0.3064, 0.7442)
F (0.3333, 0.6667, 0.2404)


# 3
DyHg2F8 after structural relaxation, computed with PBE.

Properties
Formation energy (no corrections) = -202 kJ per mole of atoms
Crystal system = trigonal

Unit cell a=6.0970 b=6.0970 c=5.5512 alpha=90.00 beta=90.00 gamma=120.00
Space group P-3m1 (No. 164)
Symmetry-distinct sites (fractional):
Dy (0.0000, 0.0000, 0.0000)
Hg (0.3333, 0.6667, 0.4826)
F (0.1602, 0.3204, 0.2519)
F (0.3333, 0.6667, 0.8538)


# 4
Dy2HgF8 after structural relaxation, computed with PBE.

Properties
Formation energy (no corrections) = -323 kJ per mole of atoms
Crystal system = monoclinic

Unit cell a=10.832 b=7.289 c=4.086 alpha=90.00 beta=108.25 gamma=90.00
Space group C2/m (No. 12)
Symmetry-distinct sites (fractional):
Dy (0.173, 0.000, 0.405)
Hg (0.000, 0.500, 0.000)
F (0.060, 0.000, 0.805)
F (0.132, 0.301, 0.417)
F (0.211, 0.500, 0.993)


# 5
Dy2HgF8 after structural relaxation, computed with PBE.

Properties
Formation energy (no corrections) = -327 kJ per mole of atoms
Crystal system = monoclinic

Unit cell a=15.001 b=3.640 c=5.594 alpha=90.00 beta=108.75 gamma=90.00
Space group C2/m (No. 12)
Symmetry-distinct sites (fractional):
Dy (0.180, 0.000, 0.190)
Hg (0.000, 0.500, 0.500)
F (0.046, 0.000, 0.309)
F (0.101, 0.500, 0.968)
F (0.184, 0.500, 0.464)
F (0.217, 0.000, 0.831)


# 6
DyHgF5 after structural relaxation, computed with PBE.

Properties
Formation energy (no corrections) = -283 kJ per mole of atoms
Crystal system = monoclinic

Unit cell a=9.236 b=7.602 c=7.657 alpha=90.00 beta=110.25 gamma=90.00
Space group C2/c (No. 15)
Symmetry-distinct sites (fractional):
Dy (0.000, 0.044, 0.250)
Hg (0.000, 0.500, 0.000)
F (0.000, 0.338, 0.250)
F (0.009, 0.163, 0.961)
F (0.250, 0.040, 0.352)


# 7
DyHg2F11 after structural relaxation, computed with PBE.

Properties
Formation energy (no corrections) = -168 kJ per mole of atoms
Crystal system = orthorhombic

Unit cell a=8.715 b=10.208 c=10.583 alpha=90.00 beta=90.00 gamma=90.00
Space group Ibam (No. 72)
Symmetry-distinct sites (fractional):
Dy (0.000, 0.000, 0.250)
Hg (0.200, 0.291, 0.000)
F (0.000, 0.500, 0.000)
F (0.081, 0.346, 0.500)
F (0.099, 0.171, 0.141)
F (0.203, 0.079, 0.367)


# 8
KDyHg2F8 after structural relaxation, computed with PBE.

Properties
Formation energy (no corrections) = -246 kJ per mole of atoms
Crystal system = monoclinic

Unit cell a=4.024 b=8.054 c=5.735 alpha=90.00 beta=90.12 gamma=90.00
Space group P2/m (No. 10)
Symmetry-distinct sites (fractional):
K (0.000, 0.000, 0.000)
Dy (0.000, 0.500, 0.000)
Hg (0.500, 0.239, 0.500)
F (0.001, 0.285, 0.253)
F (0.499, 0.000, 0.729)
F (0.499, 0.500, 0.779)


# 9
KDyHgF6 after structural relaxation, computed with PBE.

Properties
Formation energy (no corrections) = -282 kJ per mole of atoms
Crystal system = trigonal

Unit cell a=6.1847 b=6.1847 c=10.5571 alpha=90.00 beta=90.00 gamma=120.00
Space group P-31c (No. 163)
Symmetry-distinct sites (fractional):
K (0.0000, 0.0000, 0.0000)
Dy (0.3333, 0.6667, 0.2500)
Hg (0.3333, 0.6667, 0.7500)
F (0.0183, 0.3764, 0.1408)


# 10
DyHgPbF6 after structural relaxation, computed with PBE.

Properties
Formation energy (no corrections) = -264 kJ per mole of atoms
Crystal system = trigonal

Unit cell a=6.2807 b=6.2807 c=10.3073 alpha=90.00 beta=90.00 gamma=120.00
Space group P-31c (No. 163)
Symmetry-distinct sites (fractional):
Dy (0.3333, 0.6667, 0.2500)
Hg (0.3333, 0.6667, 0.7500)
Pb (0.0000, 0.0000, 0.0000)
F (0.0595, 0.3610, 0.1305)


# 11
Rb2DyHgF6 after structural relaxation, computed with PBE.

Properties
Formation energy (no corrections) = -277 kJ per mole of atoms
Crystal system = triclinic

Unit cell a=6.729 b=6.734 c=6.736 alpha=60.07 beta=60.04 gamma=60.04
Space group P-1 (No. 2)
Symmetry-distinct sites (fractional):
Rb (0.250, 0.250, 0.250)
Dy (0.000, 0.000, 0.000)
Hg (0.500, 0.500, 0.500)
F (0.228, 0.229, 0.772)
F (0.229, 0.772, 0.228)
F (0.229, 0.772, 0.771)


# 12
DyTl2HgF6 after structural relaxation, computed with PBE.

Properties
Formation energy (no corrections) = -238 kJ per mole of atoms
Crystal system = orthorhombic

Unit cell a=6.625 b=9.420 c=6.991 alpha=90.00 beta=90.00 gamma=90.00
Space group Pmmn (No. 59, origin choice 2)
Symmetry-distinct sites (fractional):
Dy (0.250, 0.250, 0.239)
Tl (0.250, 0.538, 0.807)
Hg (0.250, 0.750, 0.285)
F (0.010, 0.750, 0.962)
F (0.014, 0.250, 0.452)
F (0.250, 0.022, 0.181)


# 13
DyHo2F8 after structural relaxation, computed with PBE.

Properties
Formation energy (no corrections) = -367 kJ per mole of atoms
Crystal system = monoclinic

Unit cell a=6.950 b=10.216 c=4.298 alpha=90.00 beta=110.35 gamma=90.00
Space group C2/m (No. 12)
Symmetry-distinct sites (fractional):
Dy (0.000, 0.000, 0.000)
Ho (0.000, 0.317, 0.500)
F (0.000, 0.247, 0.000)
F (0.130, 0.500, 0.812)
F (0.185, 0.127, 0.525)


# 14
Dy2HoF after structural relaxation, computed with PBE.

Properties
Formation energy (no corrections) = -110 kJ per mole of atoms
Crystal system = trigonal

Unit cell a=3.6727 b=3.6727 c=25.2581 alpha=90.00 beta=90.00 gamma=120.00
Space group R-3m (No. 166, hexagonal axes)
Symmetry-distinct sites (fractional):
Dy (0.0000, 0.0000, 0.2232)
Ho (0.0000, 0.0000, 0.0000)
F (0.0000, 0.0000, 0.5000)


# 15
DyHo2F after structural relaxation, computed with PBE.

Properties
Formation energy (no corrections) = -109 kJ per mole of atoms
Crystal system = trigonal

Unit cell a=3.6607 b=3.6607 c=25.2290 alpha=90.00 beta=90.00 gamma=120.00
Space group R-3m (No. 166, hexagonal axes)
Symmetry-distinct sites (fractional):
Dy (0.0000, 0.0000, 0.0000)
Ho (0.0000, 0.0000, 0.2231)
F (0.0000, 0.0000, 0.5000)


# 16
Dy3HoF after structural relaxation, computed with PBE.

Properties
Formation energy (no corrections) = -89 kJ per mole of atoms
Crystal system = cubic

Unit cell a=5.023 b=5.023 c=5.023 alpha=90.00 beta=90.00 gamma=90.00
Space group Pm-3m (No. 221)
Symmetry-distinct sites (fractional):
Dy (0.000, 0.000, 0.500)
Ho (0.500, 0.500, 0.500)
F (0.000, 0.000, 0.000)


# 17
DyHo3F after structural relaxation, computed with PBE.

Properties
Formation energy (no corrections) = -88 kJ per mole of atoms
Crystal system = cubic

Unit cell a=5.011 b=5.011 c=5.011 alpha=90.00 beta=90.00 gamma=90.00
Space group Pm-3m (No. 221)
Symmetry-distinct sites (fractional):
Dy (0.000, 0.000, 0.000)
Ho (0.000, 0.500, 0.500)
F (0.500, 0.500, 0.500)


# 18
DyIF after structural relaxation, computed with PBE.

Properties
Formation energy (no corrections) = -201 kJ per mole of atoms
Crystal system = trigonal

Unit cell a=3.9683 b=3.9683 c=5.1955 alpha=90.00 beta=90.00 gamma=120.00
Space group P3m1 (No. 156)
Symmetry-distinct sites (fractional):
Dy (0.0000, 0.0000, 0.0000)
I (0.3333, 0.6667, 0.4063)
F (0.6667, 0.3333, 0.8864)


# 19
Dy2InF after structural relaxation, computed with PBE.

Properties
Formation energy (no corrections) = -100 kJ per mole of atoms
Crystal system = tetragonal

Unit cell a=3.289 b=3.289 c=8.157 alpha=90.00 beta=90.00 gamma=90.00
Space group P4/mmm (No. 123)
Symmetry-distinct sites (fractional):
Dy (0.000, 0.000, 0.229)
In (0.500, 0.500, 0.500)
F (0.500, 0.500, 0.000)


# 20
DyInF after structural relaxation, computed with PBE.

Properties
Formation energy (no corrections) = -182 kJ per mole of atoms
Crystal system = tetragonal

Unit cell a=3.879 b=3.879 c=8.117 alpha=90.00 beta=90.00 gamma=90.00
Space group P4/nmm (No. 129, origin choice 2)
Symmetry-distinct sites (fractional):
Dy (0.250, 0.250, 0.182)
In (0.250, 0.250, 0.588)
F (0.250, 0.750, 0.000)


# 21
DyIn2F11 after structural relaxation, computed with PBE.

Properties
Formation energy (no corrections) = -242 kJ per mole of atoms
Crystal system = orthorhombic

Unit cell a=8.066 b=10.102 c=10.864 alpha=90.00 beta=90.00 gamma=90.00
Space group Ibam (No. 72)
Symmetry-distinct sites (fractional):
Dy (0.000, 0.000, 0.250)
In (0.164, 0.308, 0.000)
F (0.000, 0.500, 0.000)
F (0.104, 0.173, 0.142)
F (0.105, 0.307, 0.500)
F (0.214, 0.077, 0.367)